Material: NaHfV2
Method: DFT, PBE
State: optimized geometry

Cell and atoms, written as POSCAR:
```
NaHfV2
1.0
0.000 3.381 3.381
3.381 0.000 3.381
3.381 3.381 0.000
Na Hf V
1 1 2
direct
0.000 0.000 0.000
0.500 0.500 0.500
0.250 0.250 0.250
0.750 0.750 0.750
```

Values from the calculation:
Relative energy among the computed polymorphs   0 meV/atom
Energy of formation   3.906 eV per formula unit
DOS(E_F)   6.79 states/eV per cell